## i
Density functional theory data (GGA-PBE) for Cs3BaS after structural relaxation.

Cell lengths 6.9868, 6.9868, 6.9868 Å; angles 90.00, 90.00, 90.00 degrees
Each line ends with the local moment (μB).
Fractional positions:
Cs  0.0000  0.5000  0.0000  0.01
Cs  0.5000  0.0000  0.0000  0.01
Cs  0.0000  0.0000  0.5000  0.01
Ba  0.5000  0.5000  0.5000  0.15
S  0.0000  0.0000  0.0000  0.01


## ii
Density functional theory data (GGA-PBE) for Cs3BaS after structural relaxation.

Cell lengths 7.4623, 7.4623, 7.4623 Å; angles 90.00, 90.00, 90.00 degrees
Each line ends with the local moment (μB).
Fractional positions:
S  0.5000  0.5000  0.5000  -0.18
Cs  0.5000  0.0000  0.0000  0.02
Cs  0.0000  0.5000  0.0000  0.04
Cs  0.0000  0.0000  0.5000  0.05
Ba  0.0000  0.0000  0.0000  0.38


Need the numbers? Relative energies in meV per atom: i 0; ii 925.


## i
Density functional theory data (GGA-PBE) for Cs2BaS after structural relaxation.

Cell lengths 6.4845, 6.4845, 6.4845 Å; angles 60.00, 60.00, 60.00 degrees
Each line ends with the local moment (μB).
Fractional positions:
Ba  0.5000  0.5000  0.5000  0.35
S  0.0000  0.0000  0.0000  0.00
Cs  0.2500  0.2500  0.2500  0.06
Cs  0.7500  0.7500  0.7500  0.06


## ii
Density functional theory data (GGA-PBE) for Cs2BaS after structural relaxation.

Cell lengths 4.8993, 4.8993, 13.5865 Å; angles 79.61, 79.61, 60.00 degrees
Fractional positions:
Cs  0.8769  0.8769  0.3693
Cs  0.1231  0.1231  0.6307
S  0.5000  0.5000  0.5000
Ba  0.0000  0.0000  0.0000


Need the numbers? Relative energies in meV per atom: i 478; ii 0.


## i
Density functional theory data (GGA-PBE) for CsBaS3 after structural relaxation.

Cell lengths 5.5199, 5.5199, 5.5199 Å; angles 90.00, 90.00, 90.00 degrees
Fractional positions:
S  0.0000  0.0000  0.5000
S  0.5000  0.0000  0.0000
S  0.0000  0.5000  0.0000
Ba  0.5000  0.5000  0.5000
Cs  0.0000  0.0000  0.0000


## ii
Density functional theory data (GGA-PBE) for CsBaS3 after structural relaxation.

Cell lengths 6.0444, 6.0444, 6.0444 Å; angles 90.00, 90.00, 90.00 degrees
Each line ends with the local moment (μB).
Fractional positions:
Ba  0.0000  0.0000  0.0000  0.01
S  0.5000  0.0000  0.0000  0.47
S  0.0000  0.5000  0.0000  0.59
S  0.0000  0.0000  0.5000  0.69
Cs  0.5000  0.5000  0.5000  0.00


Need the numbers? Relative energies in meV per atom: i 370; ii 0.


## i
Density functional theory data (GGA-PBE) for CsBa2Sb2 after structural relaxation.

Cell lengths 5.9384, 5.9384, 8.1670 Å; angles 68.68, 68.68, 90.00 degrees
Fractional positions:
Cs  0.0000  0.0000  0.0000
Sb  0.3856  0.3856  0.2288
Sb  0.6144  0.6144  0.7712
Ba  0.2500  0.7500  0.5000
Ba  0.7500  0.2500  0.5000


## ii
Density functional theory data (GGA-PBE) for CsBa2Sb2 after structural relaxation.

Cell lengths 10.2162, 10.2162, 4.0134 Å; angles 90.00, 90.00, 90.00 degrees
Fractional positions:
Ba  0.8698  0.6302  0.0000
Ba  0.6302  0.1302  0.0000
Ba  0.3698  0.8698  0.0000
Ba  0.1302  0.3698  0.0000
Sb  0.3336  0.1664  0.5000
Sb  0.6664  0.8336  0.5000
Sb  0.8336  0.3336  0.5000
Sb  0.1664  0.6664  0.5000
Cs  0.5000  0.5000  0.0000
Cs  0.0000  0.0000  0.0000


Need the numbers? Relative energies in meV per atom: i 166; ii 0.


## i
Density functional theory data (GGA-PBE) for CsBa3Sb after structural relaxation.

Cell lengths 6.2884, 6.2884, 6.2884 Å; angles 90.00, 90.00, 90.00 degrees
Fractional positions:
Ba  0.0000  0.0000  0.5000
Ba  0.5000  0.0000  0.0000
Ba  0.0000  0.5000  0.0000
Cs  0.0000  0.0000  0.0000
Sb  0.5000  0.5000  0.5000


## ii
Density functional theory data (GGA-PBE) for CsBa3Sb after structural relaxation.

Cell lengths 6.9383, 6.9383, 6.9383 Å; angles 90.00, 90.00, 90.00 degrees
Fractional positions:
Cs  0.5000  0.5000  0.5000
Sb  0.0000  0.0000  0.0000
Ba  0.5000  0.0000  0.0000
Ba  0.0000  0.5000  0.0000
Ba  0.0000  0.0000  0.5000


Need the numbers? Relative energies in meV per atom: i 933; ii 0.


## i
Density functional theory data (GGA-PBE) for CsBaSbTe2 after structural relaxation.

Cell lengths 6.6394, 6.6394, 6.6622 Å; angles 90.00, 90.00, 90.00 degrees
Each line ends with the local moment (μB).
Fractional positions:
Sb  0.0000  0.0000  0.5000  0.63
Te  0.5000  0.0000  0.0000  0.23
Te  0.0000  0.5000  0.0000  0.23
Cs  0.5000  0.5000  0.5000  0.01
Ba  0.0000  0.0000  0.0000  0.02


## ii
Density functional theory data (GGA-PBE) for CsBaSbTe2 after structural relaxation.

Cell lengths 6.3801, 6.3801, 6.1292 Å; angles 90.00, 90.00, 90.00 degrees
Fractional positions:
Cs  0.0000  0.0000  0.0000
Te  0.0000  0.5000  0.0000
Te  0.5000  0.0000  0.0000
Sb  0.0000  0.0000  0.5000
Ba  0.5000  0.5000  0.5000


Need the numbers? Relative energies in meV per atom: i 0; ii 426.


## i
Density functional theory data (GGA-PBE) for CsBaSc2 after structural relaxation.

Cell lengths 9.6749, 9.6749, 7.6476 Å; angles 50.76, 50.76, 90.00 degrees
Each line ends with the local moment (μB).
Fractional positions:
Cs  0.5000  0.5000  0.0000  0.01
Cs  0.2500  0.7500  0.5000  0.01
Sc  0.6095  0.1250  0.2500  0.30
Sc  0.8750  0.8595  0.7500  0.30
Sc  0.3750  0.3905  0.7500  0.30
Sc  0.1405  0.6250  0.2500  0.29
Ba  0.0000  0.0000  0.0000  0.03
Ba  0.7500  0.2500  0.5000  0.03


## ii
Density functional theory data (GGA-PBE) for CsBaSc2 after structural relaxation.

Cell lengths 13.3930, 13.3930, 13.3930 Å; angles 15.53, 15.53, 15.53 degrees
Fractional positions:
Sc  0.9105  0.9105  0.9105
Sc  0.0895  0.0895  0.0895
Ba  0.5000  0.5000  0.5000
Cs  0.0000  0.0000  0.0000


## iii
Density functional theory data (GGA-PBE) for CsBaSc2 after structural relaxation.

Cell lengths 6.1757, 6.1757, 6.1757 Å; angles 60.00, 60.00, 60.00 degrees
Each line ends with the local moment (μB).
Fractional positions:
Sc  0.2500  0.2500  0.2500  0.36
Sc  0.7500  0.7500  0.7500  0.36
Ba  0.5000  0.5000  0.5000  0.09
Cs  0.0000  0.0000  0.0000  0.02


Need the numbers? Relative energies in meV per atom: i 275; ii 0; iii 194.


## i
Density functional theory data (GGA-PBE) for CsBa3Se after structural relaxation.

Cell lengths 6.6695, 6.6695, 6.6695 Å; angles 90.00, 90.00, 90.00 degrees
Fractional positions:
Cs  0.5000  0.5000  0.5000
Se  0.0000  0.0000  0.0000
Ba  0.0000  0.5000  0.0000
Ba  0.0000  0.0000  0.5000
Ba  0.5000  0.0000  0.0000


## ii
Density functional theory data (GGA-PBE) for CsBa3Se after structural relaxation.

Cell lengths 6.3372, 6.3372, 6.3372 Å; angles 90.00, 90.00, 90.00 degrees
Fractional positions:
Ba  0.0000  0.0000  0.5000
Ba  0.0000  0.5000  0.0000
Ba  0.5000  0.0000  0.0000
Se  0.5000  0.5000  0.5000
Cs  0.0000  0.0000  0.0000


Need the numbers? Relative energies in meV per atom: i 0; ii 1148.